DFT (PBE) results for a geometry-optimized Dy3Al5Cu structure.

Geometry as POSCAR:
```
Dy3Al5Cu
1.0
-0.632 4.084 1.348
-6.405 -1.713 2.186
5.442 -0.588 4.334
Al Cu Dy
5 1 3
direct
0.500 0.000 0.765
0.500 0.235 0.235
0.500 0.333 0.667
0.500 0.765 0.000
0.500 0.667 0.333
0.000 0.000 0.000
0.000 0.410 0.000
0.000 0.000 0.410
0.000 0.590 0.590
```

Output
ΔH_f (0 K) = -487 meV per atom
M_tot = 0.000 μB per formula unit
VASP energy = -4.555 eV per atom